#1
# NaTe2AuI (PBE-GGA, relaxed)
# Total magnetization = 0.0 Bohr magnetons per cell
data_NaTe2AuI
_symmetry_space_group_name_H-M 'P 4/m m m'
_symmetry_Int_Tables_number 123
_symmetry_space_group_name_Hall '-P 4 2'
_cell_length_a 5.5615
_cell_length_b 5.5615
_cell_length_c 5.6436
_cell_angle_alpha 90.00
_cell_angle_beta 90.00
_cell_angle_gamma 90.00
loop_
_atom_site_label
_atom_site_fract_x
_atom_site_fract_y
_atom_site_fract_z
Na1 0.0000 0.0000 0.0000
Te1 0.0000 0.5000 0.0000
Au1 0.5000 0.5000 0.5000
I1 0.0000 0.0000 0.5000

#2
# NaTe2AuI (PBE-GGA, relaxed)
# Total magnetization = 0.0 Bohr magnetons per cell
data_NaTe2AuI
_symmetry_space_group_name_H-M 'P 4/m m m'
_symmetry_Int_Tables_number 123
_symmetry_space_group_name_Hall '-P 4 2'
_cell_length_a 5.5140
_cell_length_b 5.5140
_cell_length_c 5.8714
_cell_angle_alpha 90.00
_cell_angle_beta 90.00
_cell_angle_gamma 90.00
loop_
_atom_site_label
_atom_site_fract_x
_atom_site_fract_y
_atom_site_fract_z
Na1 0.0000 0.0000 0.0000
Te1 0.0000 0.5000 0.5000
Au1 0.5000 0.5000 0.5000
I1 0.5000 0.5000 0.0000

Q: What are the energies relative to the best structure? A: #1 0.712; #2 0.000, in eV/atom.

#1
# NaTeAuI2 (PBE-GGA, relaxed)
# Total magnetization = 2.1 Bohr magnetons per cell
data_NaTeAuI2
_symmetry_space_group_name_H-M 'P 4/m m m'
_symmetry_Int_Tables_number 123
_symmetry_space_group_name_Hall '-P 4 2'
_cell_length_a 5.7768
_cell_length_b 5.7768
_cell_length_c 5.8911
_cell_angle_alpha 90.00
_cell_angle_beta 90.00
_cell_angle_gamma 90.00
loop_
_atom_site_label
_atom_site_fract_x
_atom_site_fract_y
_atom_site_fract_z
Na1 0.0000 0.0000 0.0000
Te1 0.0000 0.0000 0.5000
Au1 0.5000 0.5000 0.5000
I1 0.0000 0.5000 0.0000

#2
# NaTeAuI2 (PBE-GGA, relaxed)
# Total magnetization = 0.6 Bohr magnetons per cell
data_NaTeAuI2
_symmetry_space_group_name_H-M 'P 4/m m m'
_symmetry_Int_Tables_number 123
_symmetry_space_group_name_Hall '-P 4 2'
_cell_length_a 5.7897
_cell_length_b 5.7897
_cell_length_c 5.5360
_cell_angle_alpha 90.00
_cell_angle_beta 90.00
_cell_angle_gamma 90.00
loop_
_atom_site_label
_atom_site_fract_x
_atom_site_fract_y
_atom_site_fract_z
Na1 0.0000 0.0000 0.0000
Te1 0.5000 0.5000 0.0000
Au1 0.5000 0.5000 0.5000
I1 0.0000 0.5000 0.5000

Q: What are the energies relative to the best structure? A: #1 0.658; #2 0.000, in eV/atom.

#1
# NbAuI6 (PBE-GGA, relaxed)
# Total magnetization = 0.0 Bohr magnetons per cell
data_NbAuI6
_symmetry_space_group_name_H-M 'P -1'
_symmetry_Int_Tables_number 2
_cell_length_a 6.8857
_cell_length_b 7.9963
_cell_length_c 8.1426
_cell_angle_alpha 115.07
_cell_angle_beta 96.93
_cell_angle_gamma 108.53
loop_
_symmetry_equiv_pos_as_xyz
'x,y,z'
'-x,-y,-z'
loop_
_atom_site_label
_atom_site_fract_x
_atom_site_fract_y
_atom_site_fract_z
Nb1 0.0000 0.0000 0.0000
Au1 0.5000 0.5000 0.0000
I1 0.0722 0.6553 0.8502
I2 0.2318 0.1283 0.7684
I3 0.3679 0.1892 0.2919

#2
# NbAuI6 (PBE-GGA, relaxed)
# Total magnetization = 1.8 Bohr magnetons per cell
data_NbAuI6
_symmetry_space_group_name_H-M 'C 1 2/m 1'
_symmetry_Int_Tables_number 12
_cell_length_a 7.7890
_cell_length_b 12.5850
_cell_length_c 7.8584
_cell_angle_alpha 90.00
_cell_angle_beta 117.67
_cell_angle_gamma 90.00
loop_
_symmetry_equiv_pos_as_xyz
'x,y,z'
'-x,-y,-z'
'-x,y,-z'
'x,-y,z'
'x+1/2,y+1/2,z'
'-x+1/2,-y+1/2,-z'
'-x+1/2,y+1/2,-z'
'x+1/2,-y+1/2,z'
loop_
_atom_site_label
_atom_site_fract_x
_atom_site_fract_y
_atom_site_fract_z
Nb1 0.0000 0.0000 0.0000
Au1 0.0000 0.5000 0.5000
I1 0.2027 0.0000 0.7950
I2 0.2446 0.3432 0.7489

Q: What are the energies relative to the best structure? A: #1 0.000; #2 0.039, in eV/atom.

#1
# Nb3AuI (PBE-GGA, relaxed)
# Total magnetization = 2.0 Bohr magnetons per cell
data_Nb3AuI
_symmetry_space_group_name_H-M 'P m -3 m'
_symmetry_Int_Tables_number 221
_symmetry_space_group_name_Hall '-P 4 2 3'
_cell_length_a 4.9972
_cell_length_b 4.9972
_cell_length_c 4.9972
_cell_angle_alpha 90.00
_cell_angle_beta 90.00
_cell_angle_gamma 90.00
loop_
_atom_site_label
_atom_site_fract_x
_atom_site_fract_y
_atom_site_fract_z
Nb1 0.0000 0.0000 0.5000
Au1 0.5000 0.5000 0.5000
I1 0.0000 0.0000 0.0000

#2
# Nb3AuI (PBE-GGA, relaxed)
# Total magnetization = 0.0 Bohr magnetons per cell
data_Nb3AuI
_symmetry_space_group_name_H-M 'P m -3 m'
_symmetry_Int_Tables_number 221
_symmetry_space_group_name_Hall '-P 4 2 3'
_cell_length_a 5.0564
_cell_length_b 5.0564
_cell_length_c 5.0564
_cell_angle_alpha 90.00
_cell_angle_beta 90.00
_cell_angle_gamma 90.00
loop_
_atom_site_label
_atom_site_fract_x
_atom_site_fract_y
_atom_site_fract_z
Nb1 0.0000 0.0000 0.5000
Au1 0.0000 0.0000 0.0000
I1 0.5000 0.5000 0.5000

Q: What are the energies relative to the best structure? A: #1 0.169; #2 0.000, in eV/atom.

#1
# NbAu2I (PBE-GGA, relaxed)
# Total magnetization = 4.6 Bohr magnetons per cell
data_NbAu2I
_symmetry_space_group_name_H-M 'I -4 2 d'
_symmetry_Int_Tables_number 122
_symmetry_space_group_name_Hall 'I -4 2bw'
_cell_length_a 8.1701
_cell_length_b 8.1701
_cell_length_c 5.5391
_cell_angle_alpha 90.00
_cell_angle_beta 90.00
_cell_angle_gamma 90.00
loop_
_atom_site_label
_atom_site_fract_x
_atom_site_fract_y
_atom_site_fract_z
Nb1 0.0000 0.0000 0.0000
Au1 0.2168 0.2500 0.1250
I1 0.0000 0.0000 0.5000

#2
# NbAu2I (PBE-GGA, relaxed)
# Total magnetization = 7.3 Bohr magnetons per cell
data_NbAu2I
_symmetry_space_group_name_H-M 'F m -3 m'
_symmetry_Int_Tables_number 225
_symmetry_space_group_name_Hall '-F 4 2 3'
_cell_length_a 7.0219
_cell_length_b 7.0219
_cell_length_c 7.0219
_cell_angle_alpha 90.00
_cell_angle_beta 90.00
_cell_angle_gamma 90.00
loop_
_atom_site_label
_atom_site_fract_x
_atom_site_fract_y
_atom_site_fract_z
Nb1 0.0000 0.0000 0.0000
Au1 0.2500 0.2500 0.2500
I1 0.0000 0.0000 0.5000

Q: What are the energies relative to the best structure? A: #1 0.000; #2 0.253, in eV/atom.

#1
# NbAuI3 (PBE-GGA, relaxed)
# Total magnetization = 3.7 Bohr magnetons per cell
data_NbAuI3
_symmetry_space_group_name_H-M 'P m -3 m'
_symmetry_Int_Tables_number 221
_symmetry_space_group_name_Hall '-P 4 2 3'
_cell_length_a 5.6270
_cell_length_b 5.6270
_cell_length_c 5.6270
_cell_angle_alpha 90.00
_cell_angle_beta 90.00
_cell_angle_gamma 90.00
loop_
_atom_site_label
_atom_site_fract_x
_atom_site_fract_y
_atom_site_fract_z
Nb1 0.0000 0.0000 0.0000
Au1 0.5000 0.5000 0.5000
I1 0.0000 0.5000 0.5000

#2
# NbAuI3 (PBE-GGA, relaxed)
# Total magnetization = 0.0 Bohr magnetons per cell
data_NbAuI3
_symmetry_space_group_name_H-M 'P m -3 m'
_symmetry_Int_Tables_number 221
_symmetry_space_group_name_Hall '-P 4 2 3'
_cell_length_a 5.5332
_cell_length_b 5.5332
_cell_length_c 5.5332
_cell_angle_alpha 90.00
_cell_angle_beta 90.00
_cell_angle_gamma 90.00
loop_
_atom_site_label
_atom_site_fract_x
_atom_site_fract_y
_atom_site_fract_z
Nb1 0.0000 0.0000 0.0000
Au1 0.5000 0.5000 0.5000
I1 0.0000 0.0000 0.5000

Q: What are the energies relative to the best structure? A: #1 0.505; #2 0.000, in eV/atom.